MgZr2In | the Alexandria database | GGA-PBE | optimized geometry; formation enthalpy at 0 K = -0.113 eV/atom
1.0
-2.1623 2.1623 4.7464
2.1623 -2.1623 4.7464
2.1623 2.1623 -4.7464
Mg Zr In
1 2 1
Direct
0.0000 0.0000 0.0000 Mg
0.2500 0.7500 0.5000 Zr
0.5000 0.5000 0.0000 Zr
0.7500 0.2500 0.5000 In


FeCoRu2 | the Alexandria database | GGA-PBE | optimized geometry; formation enthalpy at 0 K = 0.199 eV/atom; relative energy among the computed polymorphs = 8.1 kJ per mole of atoms
1.0
1.3169 0.7603 8.4720
-1.3169 0.7603 8.4720
0.0000 -1.5206 8.4720
Fe Co Ru
1 1 2
Direct
0.0000 0.0000 0.0000 Fe
0.5000 0.5000 0.5000 Co
0.2498 0.2498 0.2498 Ru
0.7502 0.7502 0.7502 Ru